No. 1
NaSrRu2F | meta-GGA SCAN | single point on PBEsol structure

Computed properties:
symmetry	No. 123
Fermi-level density of states	4.58	states/eV per cell
uncorrected formation energy	1.13	eV per atom

Lattice parameters (Å, degrees): 4.4823 4.4823 6.3513 90.00 90.00 90.00
Fractional positions:
Na  0.0000  0.0000  0.0000
Sr  0.0000  0.0000  0.5000
Ru  0.0000  0.5000  0.0000
Ru  0.5000  0.0000  0.0000
F  0.5000  0.5000  0.5000

***

No. 2
Na3SF | meta-GGA SCAN | single point on PBEsol structure

Computed properties:
symmetry	No. 221
Fermi-level density of states	0.00	states/eV per cell
uncorrected formation energy	-1.88	eV per atom

Lattice parameters (Å, degrees): 4.3960 4.3960 4.3960 90.00 90.00 90.00
Fractional positions:
Na  0.0000  0.0000  0.5000
Na  0.0000  0.5000  0.0000
Na  0.5000  0.0000  0.0000
S  0.5000  0.5000  0.5000
F  0.0000  0.0000  0.0000

***

No. 3
Na2SbF | meta-GGA SCAN | single point on PBEsol structure

Computed properties:
symmetry	No. 225
Fermi-level density of states	2.89	states/eV per cell
uncorrected formation energy	-0.78	eV per atom

Lattice parameters (Å, degrees): 7.1728 7.1728 7.1728 90.00 90.00 90.00
Fractional positions:
Na  0.2500  0.2500  0.2500
Na  0.2500  0.2500  0.7500
Na  0.2500  0.7500  0.2500
Na  0.2500  0.7500  0.7500
Na  0.7500  0.2500  0.2500
Na  0.7500  0.2500  0.7500
Na  0.7500  0.7500  0.2500
Na  0.7500  0.7500  0.7500
Sb  0.0000  0.0000  0.0000
Sb  0.0000  0.5000  0.5000
Sb  0.5000  0.0000  0.5000
Sb  0.5000  0.5000  0.0000
F  0.0000  0.0000  0.5000
F  0.0000  0.5000  0.0000
F  0.5000  0.0000  0.0000
F  0.5000  0.5000  0.5000

***

No. 4
Na2SbF5 | meta-GGA SCAN | single point on PBEsol structure

Computed properties:
symmetry	No. 19
Fermi-level density of states	0.00	states/eV per cell
uncorrected formation energy	-2.72	eV per atom

Lattice parameters (Å, degrees): 5.4577 8.0361 11.1486 90.00 90.00 90.00
Fractional positions:
Na  0.0041  0.1092  0.2380
Na  0.0822  0.6414  0.9357
Na  0.4178  0.3586  0.4357
Na  0.4959  0.8908  0.7380
Na  0.5041  0.3908  0.7620
Na  0.5822  0.8586  0.0643
Na  0.9178  0.1414  0.5643
Na  0.9959  0.6092  0.2620
Sb  0.0092  0.0791  0.8780
Sb  0.4908  0.9209  0.3780
Sb  0.5092  0.4209  0.1220
Sb  0.9908  0.5791  0.6220
F  0.1118  0.9956  0.7089
F  0.1458  0.5701  0.4494
F  0.1769  0.3626  0.6242
F  0.1818  0.3598  0.2112
F  0.2222  0.0976  0.4278
F  0.2778  0.9024  0.9278
F  0.3182  0.6402  0.7112
F  0.3231  0.6374  0.1242
F  0.3542  0.4299  0.9494
F  0.3882  0.0044  0.2089
F  0.6118  0.5044  0.2911
F  0.6458  0.9299  0.5506
F  0.6769  0.1374  0.3758
F  0.6818  0.1402  0.7888
F  0.7222  0.4024  0.5722
F  0.7778  0.5976  0.0722
F  0.8182  0.8598  0.2888
F  0.8231  0.8626  0.8758
F  0.8542  0.0701  0.0506
F  0.8882  0.4956  0.7911

***

No. 5
NaSbF4 | meta-GGA SCAN | single point on PBEsol structure

Computed properties:
symmetry	No. 14
Fermi-level density of states	0.00	states/eV per cell
uncorrected formation energy	-2.63	eV per atom

Lattice parameters (Å, degrees): 7.9468 5.6652 8.4139 90.00 90.15 90.00
Fractional positions:
Na  0.1471  0.2032  0.3271
Na  0.1471  0.2968  0.8271
Na  0.8529  0.7032  0.1729
Na  0.8529  0.7968  0.6729
Sb  0.3369  0.7008  0.1447
Sb  0.3369  0.7992  0.6447
Sb  0.6631  0.2008  0.3553
Sb  0.6631  0.2992  0.8553
F  0.1136  0.6376  0.6778
F  0.1136  0.8624  0.1778
F  0.1898  0.0845  0.5837
F  0.1898  0.4155  0.0837
F  0.2966  0.5533  0.3562
F  0.2966  0.9467  0.8562
F  0.4081  0.5106  0.8044
F  0.4081  0.9894  0.3044
F  0.5919  0.0106  0.6956
F  0.5919  0.4894  0.1956
F  0.7034  0.0533  0.1438
F  0.7034  0.4467  0.6438
F  0.8102  0.5845  0.9163
F  0.8102  0.9155  0.4163
F  0.8864  0.1376  0.8222
F  0.8864  0.3624  0.3222

***

No. 6
Na2SbF2 | meta-GGA SCAN | single point on PBEsol structure

Computed properties:
symmetry	No. 139
Fermi-level density of states	2.08	states/eV per cell
uncorrected formation energy	-1.66	eV per atom

Lattice parameters (Å, degrees): 3.9733 3.9733 13.4706 90.00 90.00 90.00
Fractional positions:
Na  0.0000  0.5000  0.2500
Na  0.0000  0.5000  0.7500
Na  0.5000  0.0000  0.2500
Na  0.5000  0.0000  0.7500
Sb  0.0000  0.0000  0.0000
Sb  0.5000  0.5000  0.5000
F  0.0000  0.0000  0.3094
F  0.0000  0.0000  0.6906
F  0.5000  0.5000  0.1906
F  0.5000  0.5000  0.8094

***

No. 7
NaSbF6 | meta-GGA SCAN | single point on PBEsol structure

Computed properties:
symmetry	No. 205
Fermi-level density of states	0.00	states/eV per cell
uncorrected formation energy	-2.64	eV per atom

Lattice parameters (Å, degrees): 8.3514 8.3514 8.3514 90.00 90.00 90.00
Fractional positions:
Na  0.0000  0.0000  0.0000
Na  0.0000  0.5000  0.5000
Na  0.5000  0.0000  0.5000
Na  0.5000  0.5000  0.0000
Sb  0.0000  0.0000  0.5000
Sb  0.0000  0.5000  0.0000
Sb  0.5000  0.0000  0.0000
Sb  0.5000  0.5000  0.5000
F  0.0021  0.0020  0.7278
F  0.0021  0.4980  0.2278
F  0.0020  0.7278  0.0021
F  0.0020  0.7722  0.5021
F  0.2278  0.0021  0.4980
F  0.2278  0.4979  0.9980
F  0.2722  0.5021  0.4980
F  0.2722  0.9979  0.9980
F  0.4980  0.2278  0.0021
F  0.4980  0.2722  0.5021
F  0.4979  0.5020  0.7278
F  0.4979  0.9980  0.2278
F  0.5021  0.0020  0.7722
F  0.5021  0.4980  0.2722
F  0.5020  0.7278  0.4979
F  0.5020  0.7722  0.9979
F  0.7278  0.0021  0.0020
F  0.7278  0.4979  0.5020
F  0.7722  0.5021  0.0020
F  0.7722  0.9979  0.5020
F  0.9980  0.2278  0.4979
F  0.9980  0.2722  0.9979
F  0.9979  0.5020  0.7722
F  0.9979  0.9980  0.2722

***

No. 8
Na3ScF6 | meta-GGA SCAN | single point on PBEsol structure

Computed properties:
symmetry	No. 14
Fermi-level density of states	0.00	states/eV per cell
uncorrected formation energy	-3.48	eV per atom

Lattice parameters (Å, degrees): 5.5673 5.8075 9.7110 90.00 123.86 90.00
Fractional positions:
Na  0.0000  0.0000  0.0000
Na  0.0000  0.5000  0.5000
Na  0.2197  0.0580  0.7393
Na  0.2197  0.4420  0.2393
Na  0.7803  0.5580  0.7607
Na  0.7803  0.9420  0.2607
Sc  0.5000  0.0000  0.5000
Sc  0.5000  0.5000  0.0000
F  0.1507  0.1811  0.4453
F  0.1507  0.3189  0.9453
F  0.2460  0.7162  0.4184
F  0.2460  0.7838  0.9184
F  0.3987  0.0689  0.2695
F  0.3987  0.4311  0.7695
F  0.6013  0.5689  0.2305
F  0.6013  0.9311  0.7305
F  0.7540  0.2162  0.0816
F  0.7540  0.2838  0.5816
F  0.8493  0.6811  0.0547
F  0.8493  0.8189  0.5547

***

No. 9
NaSc2F | meta-GGA SCAN | single point on PBEsol structure

Computed properties:
symmetry	No. 225
Fermi-level density of states	10.98	states/eV per cell
uncorrected formation energy	-0.05	eV per atom

Lattice parameters (Å, degrees): 6.9500 6.9500 6.9500 90.00 90.00 90.00
Fractional positions:
Na  0.0000  0.0000  0.0000
Na  0.0000  0.5000  0.5000
Na  0.5000  0.0000  0.5000
Na  0.5000  0.5000  0.0000
Sc  0.2500  0.2500  0.2500
Sc  0.2500  0.2500  0.7500
Sc  0.2500  0.7500  0.2500
Sc  0.2500  0.7500  0.7500
Sc  0.7500  0.2500  0.2500
Sc  0.7500  0.2500  0.7500
Sc  0.7500  0.7500  0.2500
Sc  0.7500  0.7500  0.7500
F  0.0000  0.0000  0.5000
F  0.0000  0.5000  0.0000
F  0.5000  0.0000  0.0000
F  0.5000  0.5000  0.5000

***

No. 10
Na3SeF | meta-GGA SCAN | single point on PBEsol structure

Computed properties:
ΔE to the lowest computed polymorph	0	meV/atom
symmetry	No. 221
Fermi-level density of states	0.00	states/eV per cell
uncorrected formation energy	-1.90	eV per atom

Lattice parameters (Å, degrees): 4.4886 4.4886 4.4886 90.00 90.00 90.00
Fractional positions:
Na  0.0000  0.0000  0.5000
Na  0.0000  0.5000  0.0000
Na  0.5000  0.0000  0.0000
Se  0.5000  0.5000  0.5000
F  0.0000  0.0000  0.0000

***

No. 11
Na2SiF6 | meta-GGA SCAN | single point on PBEsol structure

Computed properties:
symmetry	No. 164
Fermi-level density of states	0.00	states/eV per cell
uncorrected formation energy	-3.23	eV per atom

Lattice parameters (Å, degrees): 9.2242 9.2242 4.4829 90.00 90.00 120.00
Fractional positions:
Na  0.0000  0.3436  0.0000
Na  0.0000  0.6564  0.0000
Na  0.3436  0.0000  0.0000
Na  0.3436  0.3436  0.0000
Na  0.6564  0.0000  0.0000
Na  0.6564  0.6564  0.0000
Si  0.0000  0.0000  0.0000
Si  0.3333  0.6667  0.5026
Si  0.6667  0.3333  0.4974
F  0.0887  0.1773  0.2130
F  0.0887  0.9113  0.2130
F  0.1572  0.5786  0.2841
F  0.1773  0.0887  0.7870
F  0.2453  0.4905  0.7198
F  0.2453  0.7547  0.7198
F  0.4214  0.5786  0.2841
F  0.4214  0.8428  0.2841
F  0.4905  0.2453  0.2802
F  0.5095  0.7547  0.7198
F  0.5786  0.1572  0.7159
F  0.5786  0.4214  0.7159
F  0.7547  0.2453  0.2802
F  0.7547  0.5095  0.2802
F  0.8227  0.9113  0.2130
F  0.8428  0.4214  0.7159
F  0.9113  0.0887  0.7870
F  0.9113  0.8227  0.7870

***

No. 12
Na2SiF6 | meta-GGA SCAN | single point on PBEsol structure

Computed properties:
symmetry	No. 150
Fermi-level density of states	0.00	states/eV per cell
uncorrected formation energy	-3.29	eV per atom

Lattice parameters (Å, degrees): 8.8834 8.8834 5.0435 90.00 90.00 120.00
Fractional positions:
Na  0.0000  0.2874  0.0000
Na  0.0000  0.6251  0.5000
Na  0.2874  0.0000  0.0000
Na  0.3749  0.3749  0.5000
Na  0.6251  0.0000  0.5000
Na  0.7126  0.7126  0.0000
Si  0.0000  0.0000  0.5000
Si  0.3333  0.6667  0.0065
Si  0.6667  0.3333  0.9935
F  0.0850  0.9031  0.3068
F  0.0969  0.1820  0.3068
F  0.1532  0.5569  0.2017
F  0.1820  0.0969  0.6932
F  0.2260  0.7401  0.8116
F  0.2599  0.4859  0.8116
F  0.4037  0.8468  0.2017
F  0.4431  0.5963  0.2017
F  0.4859  0.2599  0.1884
F  0.5141  0.7740  0.8116
F  0.5569  0.1532  0.7983
F  0.5963  0.4431  0.7983
F  0.7401  0.2260  0.1884
F  0.7740  0.5141  0.1884
F  0.8180  0.9150  0.3068
F  0.8468  0.4037  0.7983
F  0.9031  0.0850  0.6932
F  0.9150  0.8180  0.6932